First-principles (PBE) data for crystalline Tc3SnRu at its relaxed geometry, as listed in Alexandria via LeMat-Bulk.

The structure in POSCAR format:
```
Tc3SnRu
1.0
4.7802 0.0000 0.0000
0.0000 4.7802 0.0000
0.0000 0.0000 4.7802
Sn Tc Ru
1 3 1
Direct
0.5000 0.5000 0.5000
0.5000 0.0000 0.0000
0.0000 0.0000 0.5000
0.0000 0.5000 0.0000
0.0000 0.0000 0.0000
```

Output
As for the total moment: 2.88 μB/f.u. For the formation energy, the calculation gives 1.53 eV/atom. The space-group type is Pm-3m, No. 221. The value obtained for the offset from the most stable computed form is 0.000 eV per atom.


First-principles (PBE) data for crystalline BeCrSe2S at its relaxed geometry, as listed in Alexandria via LeMat-Bulk.

The structure in POSCAR format:
```
BeCrSe2S
1.0
4.5681 0.0000 0.0000
0.0000 4.4186 0.0000
0.0000 0.0000 4.5681
Se Be S Cr
2 1 1 1
Direct
0.5000 0.0000 0.0000
0.0000 0.0000 0.5000
0.0000 0.5000 0.0000
0.5000 0.5000 0.5000
0.0000 0.0000 0.0000
```

Output
As for the total moment: 0.00 μB/f.u. The calculation puts the raw formation energy at 689 meV/atom. The space-group type is P4/mmm, No. 123.